DFT (PBE-GGA) results for an optimized crystal structure of AcThHg4.

Output
As for the raw total energy: -2.296 eV/atom. Its magnetic moment is 0.0 μB per formula unit. Its symmetry is F-43m (216).

a = 6.124 Å, b = 6.124 Å, c = 6.124 Å
α = 60.00°, β = 60.00°, γ = 60.00°
Positions (direct):
Ac (0.000, 0.000, 0.000)
Hg (0.126, 0.625, 0.625)
Hg (0.625, 0.625, 0.126)
Hg (0.625, 0.126, 0.625)
Hg (0.625, 0.625, 0.625)
Th (0.250, 0.250, 0.250)